# NaZr3Pa2N6 | the Alexandria database | GGA-PBE | relaxed
# Crystal system: monoclinic
# ΔE_f (raw) in eV per atom: -1.503
# Density of states at the Fermi level in states/eV/atom: 0.425
data_NaZr3Pa2N6
_cell_length_a 14.5783
_cell_length_b 3.3399
_cell_length_c 6.8206
_cell_angle_alpha 90.00
_cell_angle_beta 104.88
_cell_angle_gamma 90.00
_space_group_name_H-M_alt 'C 1 2/m 1'
_space_group_IT_number 12
loop_
_space_group_symop_operation_xyz
'x,y,z'
'-x,-y,-z'
'-x,y,-z'
'x,-y,z'
'x+1/2,y+1/2,z'
'-x+1/2,-y+1/2,-z'
'-x+1/2,y+1/2,-z'
'x+1/2,-y+1/2,z'
loop_
_atom_site_label
_atom_site_type_symbol
_atom_site_fract_x
_atom_site_fract_y
_atom_site_fract_z
Na1 Na 0.0000 0.0000 0.0000
Zr1 Zr 0.0000 0.0000 0.5000
Zr2 Zr 0.1609 0.5000 0.8290
Pa1 Pa 0.1626 0.5000 0.3259
N1 N 0.0018 0.5000 0.2722
N2 N 0.1621 0.0000 0.5949
N3 N 0.1717 0.0000 0.0801



# Na3ZrPa2N6 | the Alexandria database | GGA-PBE | relaxed
# Crystal system: monoclinic
# ΔE_f (raw) in eV per atom: -1.072
# Density of states at the Fermi level in states/eV/atom: 0.982
data_Na3ZrPa2N6
_cell_length_a 6.0328
_cell_length_b 10.4595
_cell_length_c 6.0456
_cell_angle_alpha 90.00
_cell_angle_beta 109.34
_cell_angle_gamma 90.00
_space_group_name_H-M_alt 'C 1 2/m 1'
_space_group_IT_number 12
loop_
_space_group_symop_operation_xyz
'x,y,z'
'-x,-y,-z'
'-x,y,-z'
'x,-y,z'
'x+1/2,y+1/2,z'
'-x+1/2,-y+1/2,-z'
'-x+1/2,y+1/2,-z'
'x+1/2,-y+1/2,z'
loop_
_atom_site_label
_atom_site_type_symbol
_atom_site_fract_x
_atom_site_fract_y
_atom_site_fract_z
Na1 Na 0.0000 0.0000 0.0000
Na2 Na 0.0000 0.3388 0.0000
Zr1 Zr 0.0000 0.5000 0.5000
Pa1 Pa 0.0000 0.1667 0.5000
N1 N 0.2279 0.3347 0.6881
N2 N 0.2315 0.0000 0.6877



Ρ, respectively: 8.7; 6.5 g cm⁻³.